Computed, not measured: a geometry-optimized BeInMo structure at the PBE-GGA level of DFT.

Geometry as POSCAR:
```
BeInMo
1.0
0.000 3.085 3.085
3.085 0.000 3.085
3.085 3.085 0.000
Be In Mo
1 1 1
direct
0.250 0.250 0.250 Be
0.750 0.750 0.750 In
0.000 0.000 0.000 Mo
```

Results
- uncorrected energy (eV per formula unit) = -14.07
- total magnetization (μB/cell) = 1.7


Computed, not measured: a geometry-optimized Sm2Y2CBrCl4 structure at the PBE-GGA level of DFT.

Geometry as POSCAR:
```
Sm2Y2CBrCl4
1.0
-7.454 -1.303 4.538
-5.101 -3.904 6.050
3.899 5.983 4.228
Br C Cl Sm Y
1 1 4 2 2
direct
0.500 0.500 0.500 Br
0.500 0.500 0.000 C
0.827 0.827 0.141 Cl
0.168 0.168 0.318 Cl
0.832 0.832 0.682 Cl
0.173 0.173 0.859 Cl
0.999 0.999 0.205 Sm
0.001 0.001 0.795 Sm
0.644 0.644 0.078 Y
0.356 0.356 0.922 Y
```

Results
- uncorrected energy (eV per formula unit) = -57.20
- total magnetization (μB/cell) = 0.0


Computed, not measured: a geometry-optimized HoAg3 structure at the PBE-GGA level of DFT.

Geometry as POSCAR:
```
HoAg3
1.0
-4.631 -0.570 -1.854
0.384 -6.028 0.897
-1.987 0.585 4.783
Ag Ho
6 2
direct
0.000 0.500 0.175 Ag
0.500 0.246 0.341 Ag
0.500 0.754 0.341 Ag
0.000 0.254 0.659 Ag
0.000 0.746 0.659 Ag
0.500 0.000 0.825 Ag
0.000 0.000 0.153 Ho
0.500 0.500 0.847 Ho
```

Results
- uncorrected energy (eV per formula unit) = -14.13
- total magnetization (μB/cell) = 0.0


Computed, not measured: a geometry-optimized TmMgSnTe3 structure at the PBE-GGA level of DFT.

Geometry as POSCAR:
```
TmMgSnTe3
1.0
6.533 0.789 -3.886
-7.589 0.905 -0.023
1.229 10.415 4.180
Mg Sn Te Tm
2 2 6 2
direct
0.974 0.026 0.250 Mg
0.026 0.974 0.750 Mg
0.296 0.704 0.250 Sn
0.704 0.296 0.750 Sn
0.857 0.143 0.050 Te
0.594 0.406 0.250 Te
0.857 0.143 0.450 Te
0.143 0.857 0.550 Te
0.406 0.594 0.750 Te
0.143 0.857 0.950 Te
0.500 0.500 0.000 Tm
0.500 0.500 0.500 Tm
```

Results
- uncorrected energy (eV per formula unit) = -23.83
- total magnetization (μB/cell) = 0.0


Computed, not measured: a geometry-optimized Pr2CuSnSb4 structure at the PBE-GGA level of DFT.

Geometry as POSCAR:
```
Pr2CuSnSb4
1.0
4.414 0.000 0.000
0.000 4.414 0.000
0.000 0.000 11.193
Cu Pr Sb Sn
1 2 4 1
direct
0.000 0.000 0.000 Cu
0.000 0.500 0.276 Pr
0.500 0.000 0.724 Pr
0.500 0.000 0.195 Sb
0.000 0.000 0.500 Sb
0.500 0.500 0.500 Sb
0.000 0.500 0.805 Sb
0.500 0.500 0.000 Sn
```

Results
- uncorrected energy (eV per formula unit) = -37.78
- total magnetization (μB/cell) = 0.0


Computed, not measured: a geometry-optimized CsFeCuTeS2 structure at the PBE-GGA level of DFT.

Geometry as POSCAR:
```
CsFeCuTeS2
1.0
1.789 -8.482 0.000
1.789 8.482 0.000
0.000 0.000 9.873
Cs Cu Fe S Te
2 2 2 4 2
direct
0.275 0.725 0.250 Cs
0.725 0.275 0.750 Cs
0.964 0.036 0.250 Cu
0.036 0.964 0.750 Cu
0.500 0.500 0.000 Fe
0.500 0.500 0.500 Fe
0.907 0.093 0.045 S
0.907 0.093 0.455 S
0.093 0.907 0.545 S
0.093 0.907 0.955 S
0.575 0.425 0.250 Te
0.425 0.575 0.750 Te
```

Results
- uncorrected energy (eV per formula unit) = -26.56
- total magnetization (μB/cell) = 6.3


Computed, not measured: a geometry-optimized SrPmNp structure at the PBE-GGA level of DFT.

Geometry as POSCAR:
```
SrPmNp
1.0
0.000 3.960 3.960
3.960 0.000 3.960
3.960 3.960 0.000
Np Pm Sr
1 1 1
direct
0.500 0.500 0.500 Np
0.250 0.250 0.250 Pm
0.000 0.000 0.000 Sr
```

Results
- uncorrected energy (eV per formula unit) = -15.27
- total magnetization (μB/cell) = 6.4


Computed, not measured: a geometry-optimized SnPd8 structure at the PBE-GGA level of DFT.

Geometry as POSCAR:
```
SnPd8
1.0
4.352 -1.950 0.000
4.352 1.950 0.000
-0.096 0.000 28.274
Pd Sn
16 2
direct
0.753 0.753 0.258 Pd
0.451 0.451 0.293 Pd
0.151 0.151 0.326 Pd
0.847 0.847 0.357 Pd
0.547 0.547 0.389 Pd
0.247 0.247 0.422 Pd
0.947 0.947 0.453 Pd
0.648 0.648 0.484 Pd
0.352 0.352 0.516 Pd
0.053 0.053 0.547 Pd
0.753 0.753 0.578 Pd
0.453 0.453 0.611 Pd
0.153 0.153 0.643 Pd
0.849 0.849 0.674 Pd
0.549 0.549 0.707 Pd
0.247 0.247 0.742 Pd
0.054 0.054 0.233 Sn
0.946 0.946 0.767 Sn
```

Results
- uncorrected energy (eV per formula unit) = -46.17


Computed, not measured: a geometry-optimized KBaHfAu structure at the PBE-GGA level of DFT.

Geometry as POSCAR:
```
KBaHfAu
1.0
0.000 4.067 4.067
4.067 0.000 4.067
4.067 4.067 0.000
Au Ba Hf K
1 1 1 1
direct
0.750 0.750 0.750 Au
0.500 0.500 0.500 Ba
0.250 0.250 0.250 Hf
0.000 0.000 0.000 K
```

Results
- uncorrected energy (eV per formula unit) = -13.15
- total magnetization (μB/cell) = 2.1


Computed, not measured: a geometry-optimized NaTaSiOs structure at the PBE-GGA level of DFT.

Geometry as POSCAR:
```
NaTaSiOs
1.0
-1.131 -0.557 4.229
-0.616 3.512 2.601
-4.065 1.057 1.355
Na Os Si Ta
1 1 1 1
direct
0.750 0.750 0.750 Na
0.250 0.250 0.250 Os
0.000 0.000 0.000 Si
0.500 0.500 0.500 Ta
```

Results
- uncorrected energy (eV per formula unit) = -29.63
- total magnetization (μB/cell) = 0.0


Computed, not measured: a geometry-optimized Tm3Al3GePd2 structure at the PBE-GGA level of DFT.

Geometry as POSCAR:
```
Tm3Al3GePd2
1.0
7.533 0.000 0.000
-3.766 6.524 0.000
0.000 0.000 3.837
Al Ge Pd Tm
3 1 2 3
direct
0.404 0.000 0.500 Al
0.000 0.404 0.500 Al
0.596 0.596 0.500 Al
0.000 0.000 0.500 Ge
0.667 0.333 0.000 Pd
0.333 0.667 0.000 Pd
0.724 0.000 0.000 Tm
0.276 0.276 0.000 Tm
0.000 0.724 0.000 Tm
```

Results
- uncorrected energy (eV per formula unit) = -43.48
- total magnetization (μB/cell) = 0.0


Computed, not measured: a geometry-optimized SrAsPdO structure at the PBE-GGA level of DFT.

Geometry as POSCAR:
```
SrAsPdO
1.0
-2.799 -1.342 3.314
2.497 -3.746 0.592
5.072 4.335 6.040
As O Pd Sr
2 2 2 2
direct
0.750 0.750 0.284 As
0.250 0.250 0.716 As
0.750 0.250 0.000 O
0.250 0.750 0.000 O
0.750 0.750 0.019 Pd
0.250 0.250 0.981 Pd
0.750 0.250 0.500 Sr
0.250 0.750 0.500 Sr
```

Results
- uncorrected energy (eV per formula unit) = -16.06